No. 1
The following is a PBE calculation of an optimized crystal structure of CeMnNi2H8, from Alexandria.

Cell lengths 5.9398, 5.9398, 5.9398 Å; angles 44.01, 44.01, 44.01 degrees
Closest atoms and distances in Å follow each position.
Fractional positions:
Ce: 0.0000 0.0000 0.0000  6 H 2.28
Mn: 0.5000 0.5000 0.5000  6 H 1.68
Ni: 0.2086 0.2086 0.2086  4 H 1.62-1.66
Ni: 0.7914 0.7914 0.7914  4 H 1.62-1.66
H: 0.1444 0.4047 0.7925  1 Ni 1.66, 1 Mn 1.68
H: 0.2075 0.8556 0.5953  1 Ni 1.66, 1 Mn 1.68
H: 0.3095 0.3095 0.3095  1 Ni 1.62
H: 0.4047 0.7925 0.1444  1 Ni 1.66, 1 Mn 1.68
H: 0.5953 0.2075 0.8556  1 Ni 1.66, 1 Mn 1.68
H: 0.6905 0.6905 0.6905  1 Ni 1.62
H: 0.7925 0.1444 0.4047  1 Ni 1.66, 1 Mn 1.68
H: 0.8556 0.5953 0.2075  1 Ni 1.66, 1 Mn 1.68

Output
uncorrected energy = -4.623 eV per atom
Fermi-level density of states = 6.18 states/eV per cell
calculated volume = 92 Å³ per cell



No. 2
The following is a PBE calculation of an optimized crystal structure of ScAlCuW2, from Alexandria.

Cell lengths 4.6237, 4.6237, 4.9116 Å; angles 90.00, 90.00, 90.00 degrees
Closest atoms and distances in Å follow each position.
Fractional positions:
Sc: 0.0000 0.0000 0.0000  4 W 2.31, 2 Al 2.46
Al: 0.0000 0.0000 0.5000  2 Sc 2.46
Cu: 0.5000 0.5000 0.5000  4 Al 3.27, 8 W 3.37
W: 0.0000 0.5000 0.0000  2 Sc 2.31
W: 0.5000 0.0000 0.0000  2 Sc 2.31

Output
uncorrected energy = -5.786 eV per atom
Fermi-level density of states = 6.64 states/eV per cell
formation energy from the elements = 2.23 eV/atom
calculated volume = 105 Å³ per cell
energy relative to the lowest polymorph listed for this composition = 1067.1 meV/atom



No. 3
The following is a PBE calculation of an optimized crystal structure of AcMgPb2, from Alexandria.

Cell lengths 3.6783, 3.6783, 31.9710 Å; angles 90.00, 90.00, 120.00 degrees
Closest atoms and distances in Å follow each position.
Fractional positions:
Ac: 0.0000 0.0000 0.0000  6 Pb 3.65, 6 Ac 3.68
Ac: 0.3333 0.6667 0.6667  6 Pb 3.65, 6 Ac 3.68
Ac: 0.6667 0.3333 0.3333  6 Pb 3.65, 6 Ac 3.68
Mg: 0.0000 0.0000 0.5000  6 Pb 3.17
Mg: 0.3333 0.6667 0.1667  6 Pb 3.17
Mg: 0.6667 0.3333 0.8333  6 Pb 3.17
Pb: 0.0000 0.0000 0.2403  3 Mg 3.17
Pb: 0.0000 0.0000 0.7597  3 Mg 3.17
Pb: 0.3333 0.6667 0.4264  3 Mg 3.17
Pb: 0.3333 0.6667 0.9070  3 Mg 3.17
Pb: 0.6667 0.3333 0.0930  3 Mg 3.17
Pb: 0.6667 0.3333 0.5736  3 Mg 3.17

Output
uncorrected energy = -3.443 eV per atom
Fermi-level density of states = 4.46 states/eV per cell
formation energy from the elements = -0.16 eV/atom
calculated volume = 375 Å³ per cell